A plane-wave DFT calculation with PBE was carried out for a geometry-optimized Pm12Si3H5 structure.

Cell lengths 15.5966, 15.5966, 15.5966 Å; angles 90.00, 90.00, 90.00 degrees
Closest atoms and distances in Å follow each position.
Space group Ia-3d (No. 230)
One atom of each set of equivalent atoms:
Pm  0.0360  0.0609  0.6533  1 H 2.26
Si  0.0000  0.2500  0.1250  8 Pm 3.04-3.08
H  0.0000  0.0000  0.0000  6 Pm 2.63
H  0.0000  0.2500  0.3750  4 Pm 2.26

density	6.41	g/cm³
total energy	-4.84	eV/atom